# CdAs2Pd

A relaxed CdAs2Pd crystal (PBE-GGA, Alexandria).

Structure (CIF):
```
data_CdAs2Pd
_chemical_formula_sum 'Cd4 As8 Pd4'
_cell_length_a 4.161
_cell_length_b 4.161
_cell_length_c 18.614
_cell_angle_alpha 90.00
_cell_angle_beta 90.00
_cell_angle_gamma 90.00
_symmetry_space_group_name_H-M 'I -4 2 d'
_symmetry_Int_Tables_number 122
_symmetry_space_group_name_Hall 'I -4 2bw'
loop_
_atom_site_label
_atom_site_type_symbol
_atom_site_fract_x
_atom_site_fract_y
_atom_site_fract_z
_atom_site_occupancy
Cd1 Cd 0.000 0.000 0.000 1
As1 As 0.188 0.250 0.625 1
Pd1 Pd 0.000 0.000 0.500 1
```

- Raw total energy: -3.893 eV per atom
- Size of the total moment: 0.00 Bohr magnetons per cell
- ΔH_f (0 K): -42 meV per atom


# Cd2As2Pd

A relaxed Cd2As2Pd crystal (PBE-GGA, Alexandria).

Structure (CIF):
```
data_Cd2As2Pd
_chemical_formula_sum 'Cd4 As4 Pd2'
_cell_length_a 6.604
_cell_length_b 6.604
_cell_length_c 4.806
_cell_angle_alpha 90.00
_cell_angle_beta 90.00
_cell_angle_gamma 90.00
_symmetry_space_group_name_H-M 'P 4/m b m'
_symmetry_Int_Tables_number 127
_symmetry_space_group_name_Hall '-P 4 2ab'
loop_
_atom_site_label
_atom_site_type_symbol
_atom_site_fract_x
_atom_site_fract_y
_atom_site_fract_z
_atom_site_occupancy
Cd1 Cd 0.180 0.320 0.000 1
As1 As 0.142 0.642 0.500 1
Pd1 Pd 0.000 0.000 0.500 1
```

- Raw total energy: -3.300 eV per atom
- Size of the total moment: 0.00 Bohr magnetons per cell
- ΔH_f (0 K): -35 meV per atom


# Cd2As2Pd5

A relaxed Cd2As2Pd5 crystal (PBE-GGA, Alexandria).

Structure (CIF):
```
data_Cd2As2Pd5
_chemical_formula_sum 'Cd8 As8 Pd20'
_cell_length_a 13.318
_cell_length_b 8.011
_cell_length_c 5.882
_cell_angle_alpha 90.00
_cell_angle_beta 90.00
_cell_angle_gamma 90.00
_symmetry_space_group_name_H-M 'C m c e'
_symmetry_Int_Tables_number 64
_symmetry_space_group_name_Hall '-C 2ac 2'
loop_
_atom_site_label
_atom_site_type_symbol
_atom_site_fract_x
_atom_site_fract_y
_atom_site_fract_z
_atom_site_occupancy
Cd1 Cd 0.242 0.000 0.000 1
As1 As 0.000 0.156 0.496 1
Pd1 Pd 0.000 0.000 0.000 1
Pd2 Pd 0.141 0.249 0.747 1
```

- Raw total energy: -4.412 eV per atom
- Size of the total moment: 0.00 Bohr magnetons per cell
- ΔH_f (0 K): -290 meV per atom


# Cd3AsPd3

A relaxed Cd3AsPd3 crystal (PBE-GGA, Alexandria).

Structure (CIF):
```
data_Cd3AsPd3
_chemical_formula_sum 'Cd12 As4 Pd12'
_cell_length_a 7.785
_cell_length_b 8.733
_cell_length_c 7.792
_cell_angle_alpha 90.00
_cell_angle_beta 90.27
_cell_angle_gamma 90.00
_symmetry_space_group_name_H-M 'C 1 2/m 1'
_symmetry_Int_Tables_number 12
loop_
_symmetry_equiv_pos_as_xyz
'x,y,z'
'-x,-y,-z'
'-x,y,-z'
'x,-y,z'
'x+1/2,y+1/2,z'
'-x+1/2,-y+1/2,-z'
'-x+1/2,y+1/2,-z'
'x+1/2,-y+1/2,z'
loop_
_atom_site_label
_atom_site_type_symbol
_atom_site_fract_x
_atom_site_fract_y
_atom_site_fract_z
_atom_site_occupancy
Cd1 Cd 0.000 0.168 0.000 1
Cd2 Cd 0.000 0.269 0.500 1
Cd3 Cd 0.147 0.500 0.876 1
As1 As 0.239 0.500 0.452 1
Pd1 Pd 0.041 0.000 0.310 1
Pd2 Pd 0.216 0.324 0.206 1
```

- Raw total energy: -3.547 eV per atom
- Size of the total moment: 0.00 Bohr magnetons per cell
- ΔH_f (0 K): -265 meV per atom


# CdAsPd6

A relaxed CdAsPd6 crystal (PBE-GGA, Alexandria).

Structure (CIF):
```
data_CdAsPd6
_chemical_formula_sum 'Cd1 As1 Pd6'
_cell_length_a 3.997
_cell_length_b 3.997
_cell_length_c 7.957
_cell_angle_alpha 90.00
_cell_angle_beta 90.00
_cell_angle_gamma 90.00
_symmetry_space_group_name_H-M 'P 4/m m m'
_symmetry_Int_Tables_number 123
_symmetry_space_group_name_Hall '-P 4 2'
loop_
_atom_site_label
_atom_site_type_symbol
_atom_site_fract_x
_atom_site_fract_y
_atom_site_fract_z
_atom_site_occupancy
Cd1 Cd 0.000 0.000 0.000 1
As1 As 0.000 0.000 0.500 1
Pd1 Pd 0.000 0.500 0.260 1
Pd2 Pd 0.500 0.500 0.000 1
Pd3 Pd 0.500 0.500 0.500 1
```

- Raw total energy: -4.841 eV per atom
- Size of the total moment: 0.00 Bohr magnetons per cell
- ΔH_f (0 K): -251 meV per atom
- Excess energy over the best structure of this formula in the dataset: 0.00 eV per formula unit


# Cd3AsPd4

A relaxed Cd3AsPd4 crystal (PBE-GGA, Alexandria).

Structure (CIF):
```
data_Cd3AsPd4
_chemical_formula_sum 'Cd6 As2 Pd8'
_cell_length_a 13.623
_cell_length_b 4.642
_cell_length_c 4.642
_cell_angle_alpha 90.00
_cell_angle_beta 109.85
_cell_angle_gamma 90.00
_symmetry_space_group_name_H-M 'C 1 2/m 1'
_symmetry_Int_Tables_number 12
loop_
_symmetry_equiv_pos_as_xyz
'x,y,z'
'-x,-y,-z'
'-x,y,-z'
'x,-y,z'
'x+1/2,y+1/2,z'
'-x+1/2,-y+1/2,-z'
'-x+1/2,y+1/2,-z'
'x+1/2,-y+1/2,z'
loop_
_atom_site_label
_atom_site_type_symbol
_atom_site_fract_x
_atom_site_fract_y
_atom_site_fract_z
_atom_site_occupancy
Cd1 Cd 0.000 0.000 0.000 1
Cd2 Cd 0.249 0.000 0.249 1
As1 As 0.000 0.500 0.500 1
Pd1 Pd 0.118 0.000 0.618 1
Pd2 Pd 0.118 0.500 0.118 1
```

- Raw total energy: -3.854 eV per atom
- Size of the total moment: 0.00 Bohr magnetons per cell
- ΔH_f (0 K): -333 meV per atom
- Excess energy over the best structure of this formula in the dataset: 0.00 eV per formula unit


Question: Look up the raw total energy of the first one.
Answer: -3.893 eV per atom